4
Lattice="2.758 0.023 0.000 -0.027 2.757 0.000 0.000 0.000 6.526" Properties=species:S:1:pos:R:3 comment="Be2AgW, relaxed, DFT PBE" formation_enthalpy_0k_ev_per_atom=0.25 relative_energy_mev_per_atom=73.7 spacegroup=P4mm pbc="T T T"
Be 0.000 0.000 0.272
Be 1.365 1.390 1.343
Ag 1.365 1.390 5.210
W 0.000 0.000 2.965